ZrFe2SnO6: optimized geometry, GGA+U.

abc: 5.3872 5.4090 5.7010
angles: 62.58 62.26 60.28
Last column: nearest neighbours and their distance in Å.
Space group P1 (No. 1)
Inequivalent atoms, fractional coordinates:
1 Zr 0.0000 0.0000 0.0000 x1  6 O 2.06-2.24
2 Fe 0.2058 0.2084 0.3734 x1  5 O 2.07-2.24
3 Fe 0.7022 0.7176 0.8597 x1  5 O 2.05-2.29
4 Sn 0.4987 0.5077 0.4913 x1  6 O 2.06-2.16
5 O 0.1177 0.7963 0.6921 x1  1 Sn 2.06, 2 Fe 2.16-2.24, 1 Zr 2.18
6 O 0.2869 0.6192 0.1999 x1  1 Zr 2.06, 1 Sn 2.14, 2 Fe 2.15-2.29
7 O 0.3877 0.1303 0.6857 x1  1 Sn 2.06, 2 Fe 2.15-2.20, 1 Zr 2.21
8 O 0.6158 0.8916 0.1896 x1  1 Zr 2.08, 2 Fe 2.16-2.24, 1 Sn 2.16
9 O 0.7773 0.4064 0.7021 x1  1 Fe 2.05, 1 Sn 2.06, 1 Zr 2.24
10 O 0.8957 0.2886 0.2062 x1  1 Fe 2.07, 1 Zr 2.08, 1 Sn 2.16

Energy = -7.38 eV per atom